Entry from Alexandria: CdBiS2N after structural relaxation (PBE).

```
CdBiS2N
1.0
5.157 0.000 0.000
0.000 5.157 0.000
0.000 0.000 4.142
Cd N S Bi
1 1 2 1
Direct
0.000 0.000 0.000
0.000 0.000 0.500
0.500 0.000 0.000
0.000 0.500 0.000
0.500 0.500 0.500
```

Computed properties:
Offset from the most stable computed form: 0.00 kJ/mol of atoms
Magnetization: 1.88 μB/f.u.
SG: P4/mmm

***

Entry from Alexandria: Sb3Cl after structural relaxation (PBE).

```
Sb3Cl
1.0
6.280 -0.779 0.000
-2.864 5.643 0.000
0.000 0.000 3.216
Cl Sb
1 3
Direct
0.000 0.000 0.000
0.500 0.000 0.500
0.500 0.500 0.000
0.000 0.500 0.500
```

Computed properties:
Offset from the most stable computed form: 17.68 kJ/mol of atoms
Magnetization: 0.00 μB/f.u.
SG: Cmmm

***

Entry from Alexandria: ScTlTe3 after structural relaxation (PBE).

```
ScTlTe3
1.0
-1.707 4.179 3.346
-4.384 -3.107 1.644
3.073 -2.111 4.204
Tl Sc Te
1 1 3
Direct
0.500 0.500 0.500
0.000 0.000 0.000
0.500 0.000 0.000
0.000 0.000 0.500
0.000 0.500 0.000
```

Computed properties:
Offset from the most stable computed form: 0.00 kJ/mol of atoms
Magnetization: 0.00 μB/f.u.
SG: Pm-3m